{"formula": "Cs4Mg2W", "functional": "PBE", "state": "relaxed", "cell": [[-0.242, -0.537, -6.163], [3.018, -5.395, 0.352], [-7.665, -7.978, -2.113]], "species": ["Cs", "Cs", "Cs", "Cs", "Mg", "Mg", "W"], "fractional_positions": [[0.500, 0.000, 0.000], [0.824, 0.824, 0.352], [0.176, 0.176, 0.648], [0.000, 0.500, 0.000], [0.382, 0.382, 0.236], [0.618, 0.618, 0.764], [0.000, 0.000, 0.000]], "ef_ev_per_atom": 1.31, "magnetic_moment_mub_per_fu": 0.0, "space_group": "I4/mmm", "volume_a3_per_atom": 56.83}